Entry 1:
DFT (PBE-GGA) results for crystalline RbHg3H2 at its relaxed geometry.

Cell and atoms, written as POSCAR:
```
RbHg3H2
1.0
4.8418 0.5983 -0.1370
-0.7577 6.0382 -0.4075
0.3180 -0.2345 10.1794
Rb Hg H
2 6 4
direct
0.2499 0.7156 0.2408
0.7501 0.2844 0.7592
0.2499 0.3124 0.4613
0.7500 0.8196 0.9676
0.7501 0.6876 0.5387
0.2500 0.1804 0.0324
0.7500 0.2026 0.2738
0.2500 0.7974 0.7262
0.7499 0.4490 0.2117
0.7499 0.9479 0.3270
0.2501 0.5510 0.7883
0.2501 0.0521 0.6730
```

* DOS at the Fermi energy: 3.80 states/eV/cell
* magnetic moment: 0.00 μB per formula unit
* E_tot: -16.97 eV per cell

Entry 2:
DFT (PBE-GGA) results for crystalline GaCoGePt at its relaxed geometry.

Cell and atoms, written as POSCAR:
```
GaCoGePt
1.0
-3.3731 -0.6772 1.5118
0.8382 -2.7491 0.6386
1.7503 1.6082 4.6259
Ge Co Ga Pt
1 1 1 1
direct
0.0000 0.5000 0.5899
0.5000 0.0000 0.4521
0.0000 0.0000 0.1298
0.5000 0.5000 0.9364
```

* DOS at the Fermi energy: 2.17 states/eV/cell
* calculated formation energy: -0.258 eV per atom
* magnetic moment: 0.00 μB per formula unit
* E_tot: -21.82 eV per cell